*A*
# Nd2Hg2O5

Crystalline Nd2Hg2O5 at its relaxed geometry (PBE, the Open Quantum Materials Database).

Unit cell a=7.259 b=4.319 c=4.319 alpha=90.00 beta=90.00 gamma=90.00
Atoms (fractional coordinates):
O  0.783  0.000  0.500
O  0.783  0.500  0.000
O  0.500  0.500  0.500
Nd  0.000  0.000  0.000
O  0.217  0.500  0.000
Nd  0.500  0.000  0.000
Hg  0.806  0.500  0.500
Hg  0.194  0.500  0.500
O  0.217  0.000  0.500


*B*
# Nd2Hg2O5

Crystalline Nd2Hg2O5 at its relaxed geometry (PBE, the Open Quantum Materials Database).

Unit cell a=9.174 b=4.178 c=4.178 alpha=90.00 beta=90.00 gamma=90.00
Last column: magnetic moment on the atom in μB.
Atoms (fractional coordinates):
O  0.849  0.000  0.500  0.28
O  0.500  0.500  0.500  0.01
Nd  0.251  0.500  0.500  -0.02
O  0.151  0.000  0.500  0.28
Hg  0.000  0.000  0.000  0.08
Nd  0.749  0.500  0.500  -0.02
O  0.151  0.500  0.000  0.23
Hg  0.500  0.000  0.000  0.01
O  0.849  0.500  0.000  0.23


Most stable of them? *B*.


*A*
# NdHgPO

Crystalline NdHgPO at its relaxed geometry (PBE, the Open Quantum Materials Database).

Unit cell a=10.978 b=10.978 c=10.978 alpha=21.79 beta=21.79 gamma=21.79
Atoms (fractional coordinates):
O  0.306  0.306  0.306
P  0.894  0.894  0.894
Nd  0.622  0.622  0.622
Hg  0.800  0.800  0.800
P  0.106  0.106  0.106
Hg  0.200  0.200  0.200
Nd  0.378  0.378  0.378
O  0.694  0.694  0.694


*B*
# NdHgPO

Crystalline NdHgPO at its relaxed geometry (PBE, the Open Quantum Materials Database).

Unit cell a=4.199 b=6.101 c=6.883 alpha=90.00 beta=90.00 gamma=90.00
Atoms (fractional coordinates):
P  0.000  0.717  0.306
O  0.500  0.727  0.872
O  0.500  0.273  0.372
Hg  0.000  0.937  0.998
Nd  0.500  0.436  0.078
P  0.000  0.283  0.806
Nd  0.500  0.564  0.578
Hg  0.000  0.063  0.498


*C*
# NdHgPO

Crystalline NdHgPO at its relaxed geometry (PBE, the Open Quantum Materials Database).

Unit cell a=4.378 b=6.920 c=6.106 alpha=90.00 beta=90.00 gamma=90.00
Atoms (fractional coordinates):
Nd  0.500  0.720  0.433
Nd  0.500  0.280  0.933
O  0.000  0.812  0.434
P  0.500  0.695  0.932
P  0.500  0.305  0.432
Hg  0.000  0.848  0.954
Hg  0.000  0.152  0.454
O  0.000  0.188  0.934


Most stable of them? *A*.


*A*
# RbNdHgTe3

Crystalline RbNdHgTe3 at its relaxed geometry (PBE, the Open Quantum Materials Database).

Unit cell a=12.832 b=4.747 c=14.106 alpha=90.00 beta=90.00 gamma=90.00
Atoms (fractional coordinates):
Te  0.779  0.750  0.819
Te  0.221  0.250  0.181
Rb  0.684  0.750  0.510
Hg  0.749  0.250  0.703
Nd  0.970  0.250  0.318
Hg  0.751  0.750  0.203
Te  0.587  0.750  0.065
Te  0.033  0.250  0.837
Nd  0.030  0.750  0.682
Rb  0.816  0.250  0.010
Te  0.467  0.750  0.337
Nd  0.470  0.250  0.182
Te  0.413  0.250  0.935
Hg  0.251  0.750  0.297
Rb  0.316  0.250  0.490
Te  0.721  0.250  0.319
Te  0.913  0.250  0.565
Rb  0.184  0.750  0.990
Te  0.533  0.250  0.663
Hg  0.249  0.250  0.797
Te  0.967  0.750  0.163
Nd  0.530  0.750  0.818
Te  0.279  0.750  0.681
Te  0.087  0.750  0.435


*B*
# RbNdHgTe3

Crystalline RbNdHgTe3 at its relaxed geometry (PBE, the Open Quantum Materials Database).

Unit cell a=8.555 b=8.555 c=11.980 alpha=90.00 beta=90.00 gamma=30.96
Atoms (fractional coordinates):
Nd  0.000  0.000  0.000
Te  0.368  0.368  0.449
Te  0.368  0.368  0.051
Nd  0.000  0.000  0.500
Hg  0.539  0.539  0.750
Rb  0.754  0.754  0.250
Te  0.632  0.632  0.949
Te  0.927  0.927  0.750
Te  0.073  0.073  0.250
Hg  0.461  0.461  0.250
Te  0.632  0.632  0.551
Rb  0.246  0.246  0.750


Most stable of them? *B*.


*A*
# RbNdHgTe3

Crystalline RbNdHgTe3 at its relaxed geometry (PBE, the Open Quantum Materials Database).

Unit cell a=10.556 b=10.556 c=9.864 alpha=101.60 beta=101.60 gamma=25.15
Atoms (fractional coordinates):
Rb  0.140  0.140  0.068
Te  0.500  0.500  0.000
Te  0.327  0.327  0.202
Nd  0.173  0.173  0.577
Nd  0.827  0.827  0.423
Te  0.673  0.673  0.798
Te  0.328  0.328  0.641
Te  0.672  0.672  0.359
Rb  0.860  0.860  0.932
Hg  0.529  0.529  0.721
Te  0.000  0.000  0.500
Hg  0.471  0.471  0.279


*B*
# RbNdHgTe3

Crystalline RbNdHgTe3 at its relaxed geometry (PBE, the Open Quantum Materials Database).

Unit cell a=9.336 b=4.606 c=11.397 alpha=90.00 beta=108.49 gamma=90.00
Atoms (fractional coordinates):
Te  0.429  0.750  0.637
Te  0.571  0.250  0.363
Te  0.739  0.750  0.056
Rb  0.248  0.750  0.215
Nd  0.813  0.750  0.364
Hg  0.587  0.250  0.121
Nd  0.187  0.250  0.636
Te  0.261  0.250  0.944
Hg  0.413  0.750  0.879
Te  0.959  0.750  0.651
Te  0.041  0.250  0.349
Rb  0.752  0.250  0.785


*C*
# RbNdHgTe3

Crystalline RbNdHgTe3 at its relaxed geometry (PBE, the Open Quantum Materials Database).

Unit cell a=9.079 b=4.878 c=18.940 alpha=90.00 beta=90.00 gamma=90.00
Atoms (fractional coordinates):
Rb  0.597  0.750  0.689
Te  0.868  0.750  0.050
Te  0.632  0.250  0.550
Te  0.368  0.750  0.450
Te  0.132  0.250  0.950
Te  0.001  0.750  0.576
Hg  0.966  0.250  0.663
Te  0.501  0.750  0.924
Rb  0.403  0.250  0.311
Te  0.795  0.250  0.791
Te  0.205  0.750  0.209
Te  0.499  0.250  0.076
Te  0.295  0.250  0.709
Rb  0.903  0.250  0.189
Te  0.999  0.250  0.424
Nd  0.724  0.750  0.457
Te  0.705  0.750  0.291
Nd  0.276  0.250  0.543
Hg  0.466  0.250  0.837
Hg  0.034  0.750  0.337
Nd  0.224  0.750  0.043
Rb  0.097  0.750  0.811
Hg  0.534  0.750  0.163
Nd  0.776  0.250  0.957


*D*
# RbNdHgTe3

Crystalline RbNdHgTe3 at its relaxed geometry (PBE, the Open Quantum Materials Database).

Unit cell a=12.028 b=4.593 c=16.297 alpha=90.00 beta=90.00 gamma=90.00
Atoms (fractional coordinates):
Hg  0.743  0.750  0.790
Hg  0.757  0.250  0.290
Nd  0.011  0.750  0.247
Rb  0.736  0.250  0.996
Te  0.439  0.750  0.615
Te  0.041  0.750  0.621
Nd  0.511  0.750  0.253
Nd  0.489  0.250  0.747
Te  0.760  0.750  0.178
Rb  0.236  0.250  0.504
Rb  0.764  0.750  0.496
Te  0.459  0.250  0.121
Te  0.959  0.250  0.379
Hg  0.243  0.750  0.710
Te  0.939  0.750  0.885
Te  0.260  0.750  0.322
Rb  0.264  0.750  0.004
Hg  0.257  0.250  0.210
Te  0.740  0.250  0.678
Nd  0.989  0.250  0.753
Te  0.061  0.250  0.115
Te  0.541  0.750  0.879
Te  0.561  0.250  0.385
Te  0.240  0.250  0.822


Most stable of them? *D*.


*A*
# NdHgSb

Crystalline NdHgSb at its relaxed geometry (PBE, the Open Quantum Materials Database).

Unit cell a=5.178 b=5.178 c=5.178 alpha=60.00 beta=60.00 gamma=60.00
Atoms (fractional coordinates):
Hg  0.750  0.750  0.750
Nd  0.250  0.250  0.250
Sb  0.000  0.000  0.000


*B*
# NdHgSb

Crystalline NdHgSb at its relaxed geometry (PBE, the Open Quantum Materials Database).

Unit cell a=5.220 b=5.220 c=5.220 alpha=60.00 beta=60.00 gamma=60.00
Atoms (fractional coordinates):
Nd  0.000  0.000  0.000
Hg  0.250  0.250  0.250
Sb  0.750  0.750  0.750


Most stable of them? *B*.


*A*
# NdHgW

Crystalline NdHgW at its relaxed geometry (PBE, the Open Quantum Materials Database).

Unit cell a=4.878 b=4.878 c=4.878 alpha=60.00 beta=60.00 gamma=60.00
Last column: magnetic moment on the atom in μB.
Atoms (fractional coordinates):
Nd  0.750  0.750  0.750  0.32
W  0.000  0.000  0.000  2.08
Hg  0.250  0.250  0.250  0.01


*B*
# NdHgW

Crystalline NdHgW at its relaxed geometry (PBE, the Open Quantum Materials Database).

Unit cell a=4.962 b=4.962 c=4.962 alpha=60.00 beta=60.00 gamma=60.00
Last column: magnetic moment on the atom in μB.
Atoms (fractional coordinates):
Hg  0.250  0.250  0.250  -0.03
Nd  0.000  0.000  0.000  0.14
W  0.750  0.750  0.750  2.28


Most stable of them? *A*.


*A*
# Ni7Hg

Crystalline Ni7Hg at its relaxed geometry (PBE, the Open Quantum Materials Database).

Unit cell a=2.594 b=3.393 c=33.807 alpha=90.00 beta=90.00 gamma=90.00
Last column: magnetic moment on the atom in μB.
Atoms (fractional coordinates):
Ni  0.500  0.500  0.700  -0.62
Ni  0.500  0.500  0.555  0.67
Ni  0.000  0.000  0.373  0.59
Hg  0.500  0.500  0.788  0.01
Ni  0.500  0.500  0.336  0.46
Ni  0.000  0.000  0.518  0.64
Ni  0.000  0.000  0.299  0.31
Ni  0.000  0.000  0.736  -0.43
Ni  0.000  0.000  0.591  0.67
Ni  0.500  0.500  0.482  0.66
Ni  0.500  0.500  0.409  0.58
Ni  0.000  0.000  0.445  0.67
Ni  0.500  0.500  0.264  0.06
Hg  0.000  0.000  0.212  0.00
Ni  0.500  0.500  0.627  0.69
Ni  0.000  0.000  0.664  -0.06


*B*
# Ni7Hg

Crystalline Ni7Hg at its relaxed geometry (PBE, the Open Quantum Materials Database).

Unit cell a=2.926 b=2.926 c=29.737 alpha=90.00 beta=90.00 gamma=90.00
Last column: magnetic moment on the atom in μB.
Atoms (fractional coordinates):
Ni  0.500  0.500  0.352  -0.17
Ni  0.000  0.000  0.394  -0.18
Ni  0.500  0.500  0.267  0.45
Ni  0.500  0.500  0.691  0.56
Ni  0.500  0.500  0.606  0.52
Ni  0.000  0.000  0.479  0.36
Ni  0.000  0.000  0.648  0.52
Ni  0.000  0.000  0.223  0.34
Ni  0.000  0.000  0.564  0.58
Ni  0.000  0.000  0.733  0.64
Ni  0.000  0.000  0.309  0.10
Hg  0.500  0.500  0.162  0.00
Ni  0.500  0.500  0.437  -0.18
Ni  0.500  0.500  0.521  0.51
Hg  0.000  0.000  0.838  0.00
Ni  0.500  0.500  0.777  0.39


Most stable of them? *A*.


*A*
# Ni3Hg2

Crystalline Ni3Hg2 at its relaxed geometry (PBE, the Open Quantum Materials Database).

Unit cell a=6.424 b=6.424 c=6.028 alpha=122.20 beta=57.80 gamma=120.00
Atoms (fractional coordinates):
Ni  0.750  0.028  0.750
Ni  0.972  0.472  0.750
Ni  0.028  0.528  0.250
Hg  0.404  0.596  0.788
Ni  0.250  0.972  0.250
Ni  0.472  0.750  0.250
Ni  0.528  0.250  0.750
Hg  0.096  0.904  0.712
Hg  0.596  0.404  0.212
Hg  0.904  0.096  0.288


*B*
# Ni3Hg2

Crystalline Ni3Hg2 at its relaxed geometry (PBE, the Open Quantum Materials Database).

Unit cell a=6.270 b=6.270 c=3.912 alpha=90.00 beta=90.00 gamma=90.00
Last column: magnetic moment on the atom in μB.
Atoms (fractional coordinates):
Hg  0.675  0.175  0.500  0.00
Hg  0.325  0.825  0.500  0.00
Ni  0.631  0.869  0.000  0.07
Ni  0.369  0.131  0.000  0.07
Ni  0.131  0.631  0.000  0.10
Hg  0.175  0.325  0.500  0.00
Ni  0.500  0.500  0.000  0.25
Ni  0.869  0.369  0.000  0.10
Hg  0.825  0.675  0.500  0.00
Ni  0.000  0.000  0.000  0.26


Most stable of them? *B*.